# 1
LiY2Zn: relaxed, GGA-PBEsol.

Unit cell a=3.569 b=3.569 c=7.312 alpha=90.00 beta=90.00 gamma=90.00
Fractional coordinates of all 4 atoms:
1 Y 0.000 0.000 0.229
2 Y 0.000 0.000 0.771
3 Zn 0.500 0.500 0.000
4 Li 0.500 0.500 0.500

Calculated values
Space group = P4/mmm, No. 123
DFT formation energy = -0.1333 eV per atom

***

# 2
BeBi2F: relaxed, GGA-PBEsol.

Unit cell a=4.699 b=4.699 c=4.699 alpha=60.00 beta=60.00 gamma=60.00
Fractional coordinates of all 4 atoms:
1 Be 0.000 0.000 0.000
2 Bi 0.750 0.750 0.750
3 Bi 0.250 0.250 0.250
4 F 0.500 0.500 0.500

Calculated values
Space group = Fm-3m, No. 225
Raw formation energy = -0.408 eV/atom

***

# 3
Mn5Al8: relaxed, GGA-PBEsol.

Unit cell a=7.604 b=7.632 c=7.632 alpha=70.46 beta=70.60 gamma=109.40
Fractional coordinates of all 26 atoms:
1 Mn 0.631 0.000 0.345
2 Mn 0.997 0.790 0.000
3 Mn 0.207 0.210 0.790
4 Mn 0.997 0.000 0.210
5 Mn 0.977 0.345 0.655
6 Mn 0.631 0.655 0.000
7 Mn 0.673 0.661 0.339
8 Mn 0.849 0.000 0.000
9 Mn 0.012 0.339 0.000
10 Mn 0.012 0.000 0.661
11 Al 0.952 0.232 0.374
12 Al 0.720 0.394 0.232
13 Al 0.326 0.606 0.626
14 Al 0.358 0.359 0.000
15 Al 0.665 0.218 0.000
16 Al 0.999 0.641 0.359
17 Al 0.617 0.356 0.644
18 Al 0.447 0.782 0.218
19 Al 0.665 0.000 0.782
20 Al 0.261 0.000 0.356
21 Al 0.261 0.644 0.000
22 Al 0.358 0.000 0.641
23 Al 0.720 0.768 0.606
24 Al 0.952 0.626 0.768
25 Al 0.326 0.374 0.394
26 Al 0.310 0.000 0.000

Calculated values
Space group = R3m, No. 160
DFT formation energy = -0.1795 eV per atom

***

Please write out number 2 again, unchanged.
BeBi2F: relaxed, GGA-PBEsol.

Unit cell a=4.699 b=4.699 c=4.699 alpha=60.00 beta=60.00 gamma=60.00
Fractional coordinates of all 4 atoms:
1 Be 0.000 0.000 0.000
2 Bi 0.750 0.750 0.750
3 Bi 0.250 0.250 0.250
4 F 0.500 0.500 0.500

Calculated values
Space group = Fm-3m, No. 225
Raw formation energy = -0.408 eV/atom